1.
Entry from the Open Quantum Materials Database: a geometry-optimized SmUI3N structure (PBE-GGA).

abc: 10.3767 10.3767 12.7055
angles: 126.02 126.02 22.03
Sites, in units of the cell vectors:
I: 0.2191 0.2191 0.1275
I: 0.9660 0.9660 0.2588
I: 0.3314 0.3314 0.4944
I: 0.6686 0.6686 0.5056
I: 0.0340 0.0340 0.7412
I: 0.7809 0.7809 0.8725
N: 0.5776 0.5776 0.1597
N: 0.4224 0.4224 0.8403
Sm: 0.4319 0.4319 0.0369
Sm: 0.5681 0.5681 0.9631
U: 0.1285 0.1285 0.2672
U: 0.8715 0.8715 0.7328

Total magnetization: 5.43 Bohr magnetons per cell
Energy: -72.3 eV per cell


2.
Entry from the Open Quantum Materials Database: a geometry-optimized SmYI2N structure (PBE-GGA).

abc: 3.8182 3.8182 10.9150
angles: 90.00 90.00 120.00
Sites, in units of the cell vectors:
I: 0.6667 0.3333 0.1845
I: 0.3333 0.6667 0.8219
N: 0.0000 0.0000 0.4932
Sm: 0.6667 0.3333 0.6186
Y: 0.3333 0.6667 0.3819

Total magnetization: 0.02 Bohr magnetons per cell
Energy: -29.5 eV per cell


3.
Entry from the Open Quantum Materials Database: a geometry-optimized Sm2Y2I5N structure (PBE-GGA).

abc: 9.8025 9.8025 8.6436
angles: 102.33 102.33 23.30
Sites, in units of the cell vectors:
I: 0.8319 0.8319 0.1734
I: 0.1647 0.1647 0.3358
I: 0.5000 0.5000 0.5000
I: 0.8353 0.8353 0.6642
I: 0.1681 0.1681 0.8266
N: 0.5000 0.5000 0.0000
Sm: 0.9993 0.9993 0.1920
Sm: 0.0007 0.0007 0.8080
Y: 0.6247 0.6247 0.0615
Y: 0.3753 0.3753 0.9385

Total magnetization: 0.00 Bohr magnetons per cell
Energy: -51.4 eV per cell


Which of these has the lowest total magnetization?
Sm2Y2I5N